1.
First-principles (PBEsol) data for CuRuAu3 after structural relaxation, as listed in the Alexandria database.

Values from the calculation:
- Calculated volume: 23.54 A^3/atom
- Mass density: 10660 kg/m3
- D(E_F): 3.71 states/eV per cell
- Symmetry: Pm-3m, No. 221
- DFT total energy: -3.713 eV/atom

a = 4.9006 Å, b = 4.9006 Å, c = 4.9006 Å
α = 90.00°, β = 90.00°, γ = 90.00°
Sites, in units of the cell vectors:
Ru (0.0000, 0.0000, 0.0000)
Au (0.0000, 0.5000, 0.0000)
Au (0.0000, 0.0000, 0.5000)
Au (0.5000, 0.0000, 0.0000)
Cu (0.5000, 0.5000, 0.5000)

2.
First-principles (PBEsol) data for Cu2RuAu after structural relaxation, as listed in the Alexandria database.

Values from the calculation:
- Calculated volume: 13.37 A^3/atom
- Mass density: 13205 kg/m3
- D(E_F): 2.81 states/eV per cell
- Energy above the lowest structure with this stoichiometry: 0.00 eV/f.u.
- Symmetry: Cmmm, No. 65
- DFT total energy: -5.444 eV/atom

a = 2.5882 Å, b = 4.6447 Å, c = 4.6447 Å
α = 106.77°, β = 90.00°, γ = 90.00°
Sites, in units of the cell vectors:
Au (0.5000, 0.5000, 0.5000)
Cu (0.0000, 0.5000, 0.0000)
Cu (0.0000, 0.0000, 0.5000)
Ru (0.5000, 0.0000, 0.0000)

3.
First-principles (PBEsol) data for CuRu2Au after structural relaxation, as listed in the Alexandria database.

Values from the calculation:
- Calculated volume: 14.12 A^3/atom
- Mass density: 13598 kg/m3
- D(E_F): 5.35 states/eV per cell
- Energy above the lowest structure with this stoichiometry: 0.06 eV/f.u.
- Symmetry: C2/m, No. 12
- DFT total energy: -6.654 eV/atom

a = 2.6633 Å, b = 4.5375 Å, c = 5.3479 Å
α = 114.58°, β = 103.59°, γ = 91.90°
Sites, in units of the cell vectors:
Au (0.5000, 0.0000, 0.0000)
Cu (0.0000, 0.5000, 0.0000)
Ru (0.0000, 0.0000, 0.5000)
Ru (0.5000, 0.5000, 0.5000)

4.
First-principles (PBEsol) data for CuRu2Au after structural relaxation, as listed in the Alexandria database.

Values from the calculation:
- Calculated volume: 14.09 A^3/atom
- Mass density: 13628 kg/m3
- D(E_F): 5.21 states/eV per cell
- Energy above the lowest structure with this stoichiometry: 0.00 eV/f.u.
- Symmetry: P2/m, No. 10
- DFT total energy: -6.667 eV/atom

a = 2.6752 Å, b = 4.5619 Å, c = 4.6249 Å
α = 90.00°, β = 90.00°, γ = 92.82°
Sites, in units of the cell vectors:
Au (0.0000, 0.5000, 0.5000)
Cu (0.5000, 0.0000, 0.5000)
Ru (0.2625, 0.2347, 0.0000)
Ru (0.7375, 0.7653, 0.0000)